This record from Alexandria describes a relaxed ZrGe3Pd crystal. The functional is PBE.

a b c (Å): 4.803 4.803 4.803
angles (deg): 90.00 90.00 90.00
Atoms (fractional coordinates):
1 Zr 0.000 0.000 0.000
2 Ge 0.000 0.500 0.500
3 Ge 0.500 0.000 0.500
4 Ge 0.500 0.500 0.000
5 Pd 0.500 0.500 0.500

Summary:
ΔH_f (0 K)   0.411 eV/atom
Calculated density   6.2 g cm⁻³

=====

This record from Alexandria describes a relaxed SrTaO3 crystal. The functional is PBE.

a b c (Å): 3.995 3.995 8.612
angles (deg): 90.00 90.00 120.00
Atoms (fractional coordinates):
1 Sr 0.333 0.667 0.250
2 Sr 0.667 0.333 0.750
3 Ta 0.000 0.000 0.000
4 Ta 0.000 0.000 0.500
5 O 0.000 0.000 0.250
6 O 0.000 0.000 0.750
7 O 0.333 0.667 0.542
8 O 0.333 0.667 0.958
9 O 0.667 0.333 0.042
10 O 0.667 0.333 0.458

Summary:
Calculated density   8.8 g cm⁻³

=====

Respective raw total energy values: -5.108, -7.875 eV per atom.